Entry 1:
First-principles (PBE-GGA) data for a relaxed DyErSi2Au2 crystal, as listed in OQMD via LeMat-Bulk.

extended XYZ file:
```
6
Lattice="-3.5800 -1.9772 -1.4043 1.1746 -0.3441 4.1472 -4.0404 6.1411 1.6539" Properties=species:S:1:pos:R:3 pbc="T T T"
Dy -0.0040 0.0060 0.0016
Au -3.1127 0.2658 0.9037
Au -3.4977 3.8042 3.5605
Si -4.9013 2.9843 1.6358
Si -1.3009 0.4653 2.6613
Er -2.0224 3.0739 0.8279
```

Values from the calculation:
DFT total energy   -5.24 eV/atom
Mass density   10.614 Mg/m³
Spin magnetization   0.00 μB per formula unit
Symmetry   P3m1

***

Entry 2:
First-principles (PBE-GGA) data for a relaxed DyErSn2Au2 crystal, as listed in OQMD via LeMat-Bulk.

extended XYZ file:
```
6
Lattice="4.6893 0.0000 0.0000 -2.3447 4.0611 0.0000 0.0000 0.0000 7.4030" Properties=species:S:1:pos:R:3 pbc="T T T"
Sn 2.3447 1.3537 7.0937
Sn 0.0000 2.7074 3.3852
Au 2.3447 1.3537 4.1246
Au 0.0000 2.7074 0.4541
Dy 0.0000 0.0000 5.4284
Er 0.0000 0.0000 1.7230
```

Values from the calculation:
DFT total energy   -4.76 eV/atom
Mass density   11.320 Mg/m³
Spin magnetization   0.00 μB per formula unit
Symmetry   P3m1

***

Entry 3:
First-principles (PBE-GGA) data for a relaxed DyGa2Au crystal, as listed in OQMD via LeMat-Bulk.

extended XYZ file:
```
16
Lattice="-4.4211 5.2327 0.1680 -2.9130 -2.5285 2.0982 3.8775 2.9876 8.9836" Properties=species:S:1:pos:R:3 pbc="T T T"
Ga -1.8950 3.3783 3.7377
Ga -1.5616 2.3134 7.5120
Ga 0.0410 2.5222 5.3938
Ga -3.0196 5.5097 9.3397
Ga -0.5137 6.4145 9.3143
Ga -2.9429 -0.7227 1.9355
Ga -0.4370 0.1821 1.9101
Ga -3.4976 3.1695 5.8560
Dy -1.3501 5.1995 6.6889
Dy 1.4613 3.0461 7.9970
Dy -4.9179 2.6457 3.2528
Dy -2.1065 0.4923 4.5609
Au -1.1173 3.6512 9.7410
Au -2.3393 2.0406 1.5088
Au -3.3950 5.5468 4.2683
Au -0.0615 0.1450 6.9814
```

Values from the calculation:
DFT total energy   -4.14 eV/atom
Mass density   10.765 Mg/m³
Spin magnetization   0.00 μB per formula unit
Symmetry   Pnma

***

Entry 4:
First-principles (PBE-GGA) data for a relaxed Dy4Ga12Au crystal, as listed in OQMD via LeMat-Bulk.

extended XYZ file:
```
17
Lattice="-4.3381 4.3381 4.3381 4.3381 -4.3381 4.3381 4.3381 4.3381 -4.3381" Properties=species:S:1:pos:R:3 pbc="T T T"
Ga 0.0000 6.0363 0.0000
Ga 0.0000 2.6400 0.0000
Ga 0.0000 2.1691 4.3381
Ga 0.0000 0.0000 2.6400
Ga 4.3381 0.0000 2.1691
Ga 0.0000 4.3381 2.1691
Ga 2.6400 0.0000 0.0000
Ga 2.1691 0.0000 4.3381
Ga 4.3381 2.1691 0.0000
Ga 6.0363 0.0000 0.0000
Ga 2.1691 4.3381 0.0000
Ga 0.0000 0.0000 6.0363
Dy -2.1691 2.1691 2.1691
Dy 2.1691 2.1691 -2.1691
Dy 2.1691 2.1691 2.1691
Dy 2.1691 -2.1691 2.1691
Au 0.0000 0.0000 0.0000
```

Values from the calculation:
DFT total energy   -3.96 eV/atom
Mass density   8.561 Mg/m³
Spin magnetization   0.00 μB per formula unit
Symmetry   Im-3m

***

Entry 5:
First-principles (PBE-GGA) data for a relaxed DyGa2Au2 crystal, as listed in OQMD via LeMat-Bulk.

extended XYZ file:
```
5
Lattice="0.6306 -5.9705 -0.4640 -1.9214 -3.3801 4.5981 -2.1709 4.4804 -3.3872" Properties=species:S:1:pos:R:3 pbc="T T T"
Ga -0.7958 -5.7652 2.5489
Ga -0.4949 -3.5854 1.5852
Dy 0.0000 0.0000 0.0000
Au -1.0928 -3.0827 -0.8920
Au -2.3688 -1.7875 1.6390
```

Values from the calculation:
DFT total energy   -4.00 eV/atom
Mass density   11.546 Mg/m³
Spin magnetization   0.00 μB per formula unit
Symmetry   I4/mmm

***

Entry 6:
First-principles (PBE-GGA) data for a relaxed GdDyGa2Au2 crystal, as listed in OQMD via LeMat-Bulk.

extended XYZ file:
```
6
Lattice="-4.1684 1.5866 -0.8554 0.9321 -4.3978 -0.6440 -1.9124 -1.3919 6.7375" Properties=species:S:1:pos:R:3 pbc="T T T"
Au -2.9285 -0.7433 0.8369
Au -3.9202 -1.4651 4.3307
Gd 0.0000 0.0000 0.0000
Dy -0.9562 -0.6959 3.3687
Ga -1.3129 -2.7996 1.2051
Ga -2.1356 -3.3984 4.1035
```

Values from the calculation:
DFT total energy   -4.45 eV/atom
Mass density   11.108 Mg/m³
Spin magnetization   0.00 μB per formula unit
Symmetry   P-6m2

***

Entry 7:
First-principles (PBE-GGA) data for a relaxed LaDy2Ga4Au crystal, as listed in OQMD via LeMat-Bulk.

extended XYZ file:
```
8
Lattice="-1.5334 6.4960 -0.7093 -6.7657 -1.5724 0.2264 -5.5393 -0.8591 4.1082" Properties=species:S:1:pos:R:3 pbc="T T T"
Ga -1.6045 1.5419 0.2236
Ga -11.3961 -0.9837 3.7813
Ga -12.3576 3.0891 3.3366
Ga -2.2994 4.4857 -0.0978
La -6.3637 2.1421 1.6169
Dy -3.2718 -0.6465 1.1525
Dy -9.7304 1.4768 2.8029
Au -6.7970 -1.3431 2.3943
```

Values from the calculation:
DFT total energy   -4.17 eV/atom
Mass density   8.478 Mg/m³
Spin magnetization   0.11 μB per formula unit
Symmetry   Amm2

***

Entry 8:
First-principles (PBE-GGA) data for a relaxed Dy3Mg3GaAu2 crystal, as listed in OQMD via LeMat-Bulk.

extended XYZ file:
```
9
Lattice="7.4951 0.0000 0.0000 -3.7475 6.4909 0.0000 0.0000 0.0000 4.2130" Properties=species:S:1:pos:R:3 pbc="T T T"
Ga 0.0000 0.0000 0.0000
Mg -0.9136 1.5825 2.1065
Mg 1.8273 0.0000 2.1065
Mg 2.8339 4.9084 2.1065
Dy 4.3834 0.0000 0.0000
Dy 1.5558 2.6948 0.0000
Dy -2.1917 3.7961 0.0000
Au 0.0000 4.3273 2.1065
Au 3.7475 2.1636 2.1065
```

Values from the calculation:
DFT total energy   -3.71 eV/atom
Mass density   8.297 Mg/m³
Spin magnetization   0.02 μB per formula unit
Symmetry   P-62m

***

Entry 9:
First-principles (PBE-GGA) data for a relaxed Dy3Mg3GaPdAu crystal, as listed in OQMD via LeMat-Bulk.

extended XYZ file:
```
9
Lattice="-5.2169 -4.7626 2.1073 4.9916 -1.9948 -5.0443 2.5797 -1.4436 3.1236" Properties=species:S:1:pos:R:3 pbc="T T T"
Dy 1.6405 -2.6143 0.3975
Dy 2.4179 -5.7077 -1.6742
Dy 4.5772 -2.5958 -2.0193
Au 0.0000 0.0000 0.0000
Mg -3.0596 -4.9867 0.2221
Mg -0.6151 -4.3092 -1.4836
Mg -1.7676 -2.2243 0.4318
Pd -0.5243 -4.5618 1.2852
Ga 1.5887 -2.9174 -2.6604
```

Values from the calculation:
DFT total energy   -3.94 eV/atom
Mass density   7.659 Mg/m³
Spin magnetization   0.03 μB per formula unit
Symmetry   P-6

***

Entry 10:
First-principles (PBE-GGA) data for a relaxed Dy2Ga4NiAu crystal, as listed in OQMD via LeMat-Bulk.

extended XYZ file:
```
8
Lattice="-5.2264 2.4655 2.9130 -2.7694 -6.4826 0.5180 -0.9663 -6.1032 3.4320" Properties=species:S:1:pos:R:3 pbc="T T T"
Ga -1.9100 -0.3820 1.2316
Ga -7.4009 -9.4762 5.8131
Ga -3.9845 0.5967 2.3878
Ga -4.5779 -10.8079 4.2396
Ni -4.3599 -4.6519 3.3033
Dy -0.9712 -3.2721 1.0269
Dy -5.3626 -8.0304 4.3636
Au -2.0548 -6.9230 2.1727
```

Values from the calculation:
DFT total energy   -4.15 eV/atom
Mass density   9.332 Mg/m³
Spin magnetization   0.00 μB per formula unit
Symmetry   Amm2

***

Entry 11:
First-principles (PBE-GGA) data for a relaxed PrDyGa2Au2 crystal, as listed in OQMD via LeMat-Bulk.

extended XYZ file:
```
6
Lattice="4.5769 0.0000 0.0000 -2.2884 3.9637 0.0000 0.0000 0.0000 7.3178" Properties=species:S:1:pos:R:3 pbc="T T T"
Au 2.2884 1.3212 1.7535
Au 2.2884 1.3212 5.5643
Ga 0.0000 2.6425 1.5263
Ga 0.0000 2.6425 5.7915
Pr 0.0000 0.0000 3.6589
Dy 0.0000 0.0000 0.0000
```

Values from the calculation:
ΔE to the lowest computed polymorph   0.000 eV per atom
DFT total energy   -4.46 eV/atom
Mass density   10.467 Mg/m³
Spin magnetization   0.00 μB per formula unit
Symmetry   P-6m2

***

Entry 12:
First-principles (PBE-GGA) data for a relaxed Tb2DyGa3PtAu2 crystal, as listed in OQMD via LeMat-Bulk.

extended XYZ file:
```
9
Lattice="3.8728 0.0000 0.0000 0.0000 6.4572 3.7306 0.0000 -6.4572 3.7306" Properties=species:S:1:pos:R:3 pbc="T T T"
Pt 0.0000 0.0000 0.0068
Dy 0.0000 0.0000 3.0000
Ga 1.9364 1.6094 0.9309
Ga 1.9364 -1.6094 0.9309
Ga 1.9364 0.0000 5.6022
Au 1.9364 2.1436 3.7289
Au 1.9364 -2.1436 3.7289
Tb 0.0000 -3.8561 2.2279
Tb 0.0000 3.8561 2.2279
```

Values from the calculation:
DFT total energy   -4.84 eV/atom
Mass density   11.379 Mg/m³
Spin magnetization   0.00 μB per formula unit
Symmetry   Amm2

***

Question: Which of these has the highest mass density?
Answer: DyGa2Au2